The following is a DFT calculation (PBE-GGA) of an optimized crystal structure of RbScW2.

Results
Polymorph energy (0 for the lowest one) ... 435 meV/atom
Volume ... 336.63 Å³ per cell

The structure in CIF format:
```
data_RbScW2
_chemical_formula_sum 'Rb4 Sc4 W8'
_symmetry_space_group_name_H-M 'F m -3 m'
_symmetry_Int_Tables_number 225
_symmetry_space_group_name_Hall '-F 4 2 3'
_cell_length_a 6.9564
_cell_length_b 6.9564
_cell_length_c 6.9564
_cell_angle_alpha 90.00
_cell_angle_beta 90.00
_cell_angle_gamma 90.00
loop_
_atom_site_label
_atom_site_fract_x
_atom_site_fract_y
_atom_site_fract_z
Rb1 0.0000 0.0000 0.0000
Sc1 0.0000 0.0000 0.5000
W1 0.2500 0.2500 0.2500
```